## LiLaMo4 (PBEsol)

Data for a geometry-optimized LiLaMo4 structure.

Structure (CIF):
```
data_LiLaMo4
_chemical_formula_sum 'Li4 La4 Mo16'
_cell_length_a 7.629
_cell_length_b 7.629
_cell_length_c 7.629
_cell_angle_alpha 90.00
_cell_angle_beta 90.00
_cell_angle_gamma 90.00
_space_group_name_H-M_alt 'F -4 3 m'
_space_group_IT_number 216
_space_group_name_Hall 'F -4 2 3'
loop_
_atom_site_label
_atom_site_fract_x
_atom_site_fract_y
_atom_site_fract_z
Li1 0.000 0.000 0.000
La1 0.250 0.250 0.750
Mo1 0.125 0.125 0.375
```

ΔE_f, eV per atom: 0.586
VASP energy, Ry per atom: -0.623

## RbZnSb3 (PBEsol)

Data for a geometry-optimized RbZnSb3 structure.

Structure (CIF):
```
data_RbZnSb3
_chemical_formula_sum 'Rb1 Zn1 Sb3'
_cell_length_a 5.345
_cell_length_b 5.345
_cell_length_c 5.345
_cell_angle_alpha 90.00
_cell_angle_beta 90.00
_cell_angle_gamma 90.00
_space_group_name_H-M_alt 'P m -3 m'
_space_group_IT_number 221
_space_group_name_Hall '-P 4 2 3'
loop_
_atom_site_label
_atom_site_fract_x
_atom_site_fract_y
_atom_site_fract_z
Rb1 0.000 0.000 0.000
Zn1 0.500 0.500 0.500
Sb1 0.000 0.500 0.500
```

VASP energy, Ry per atom: -0.226

## Ti3AlRe (PBEsol)

Data for a geometry-optimized Ti3AlRe structure.

Structure (CIF):
```
data_Ti3AlRe
_chemical_formula_sum 'Ti3 Al1 Re1'
_cell_length_a 4.681
_cell_length_b 4.681
_cell_length_c 4.681
_cell_angle_alpha 90.00
_cell_angle_beta 90.00
_cell_angle_gamma 90.00
_space_group_name_H-M_alt 'P m -3 m'
_space_group_IT_number 221
_space_group_name_Hall '-P 4 2 3'
loop_
_atom_site_label
_atom_site_fract_x
_atom_site_fract_y
_atom_site_fract_z
Ti1 0.000 0.000 0.500
Al1 0.500 0.500 0.500
Re1 0.000 0.000 0.000
```

ΔE_f, eV per atom: 0.656
VASP energy, Ry per atom: -0.575

## ZrBe2RhSe (PBEsol)

Data for a geometry-optimized ZrBe2RhSe structure.

Structure (CIF):
```
data_ZrBe2RhSe
_chemical_formula_sum 'Zr1 Be2 Rh1 Se1'
_cell_length_a 4.464
_cell_length_b 4.464
_cell_length_c 4.869
_cell_angle_alpha 90.00
_cell_angle_beta 90.00
_cell_angle_gamma 90.00
_space_group_name_H-M_alt 'P 4/m m m'
_space_group_IT_number 123
_space_group_name_Hall '-P 4 2'
loop_
_atom_site_label
_atom_site_fract_x
_atom_site_fract_y
_atom_site_fract_z
Zr1 0.000 0.000 0.000
Be1 0.000 0.500 0.000
Rh1 0.500 0.500 0.500
Se1 0.000 0.000 0.500
```

VASP energy, Ry per atom: -0.325

## Te2MoS (PBEsol)

Data for a geometry-optimized Te2MoS structure.

Structure (CIF):
```
data_Te2MoS
_chemical_formula_sum 'Te6 Mo3 S3'
_cell_length_a 3.5773
_cell_length_b 3.5773
_cell_length_c 25.6951
_cell_angle_alpha 90.00
_cell_angle_beta 90.00
_cell_angle_gamma 120.00
_space_group_name_H-M_alt 'R -3 m'
_space_group_IT_number 166
_space_group_name_Hall '-R 3 2"'
loop_
_atom_site_label
_atom_site_fract_x
_atom_site_fract_y
_atom_site_fract_z
Te1 0.0000 0.0000 0.0975
Mo1 0.0000 0.0000 0.5000
S1 0.0000 0.0000 0.0000
```

VASP energy, Ry per atom: -0.409

## ZnCu (PBEsol)

Data for a geometry-optimized ZnCu structure.

Structure (CIF):
```
data_ZnCu
_chemical_formula_sum 'Zn4 Cu4'
_cell_length_a 3.612
_cell_length_b 3.612
_cell_length_c 7.543
_cell_angle_alpha 90.00
_cell_angle_beta 90.00
_cell_angle_gamma 90.00
_space_group_name_H-M_alt 'I 41/a m d'
_space_group_IT_number 141
loop_
_space_group_symop_operation_xyz
'x,y,z'
'-x,-y,-z'
'-y+1/4,x+3/4,z+1/4'
'y+1/4,-x+3/4,-z+1/4'
'-x+1/2,-y,z+1/2'
'x+1/2,y,-z+1/2'
'y+1/4,-x+1/4,z+3/4'
'-y+1/4,x+1/4,-z+3/4'
'x,-y,-z'
'-x,y,z'
'-y+1/4,-x+1/4,-z+3/4'
'y+1/4,x+1/4,z+3/4'
'-x+1/2,y,-z+1/2'
'x+1/2,-y,z+1/2'
'y+1/4,x+3/4,-z+1/4'
'-y+1/4,-x+3/4,z+1/4'
'x+1/2,y+1/2,z+1/2'
'-x+1/2,-y+1/2,-z+1/2'
'-y+3/4,x+1/4,z+3/4'
'y+3/4,-x+1/4,-z+3/4'
'-x,-y+1/2,z'
'x,y+1/2,-z'
'y+3/4,-x+3/4,z+1/4'
'-y+3/4,x+3/4,-z+1/4'
'x+1/2,-y+1/2,-z+1/2'
'-x+1/2,y+1/2,z+1/2'
'-y+3/4,-x+3/4,-z+1/4'
'y+3/4,x+3/4,z+1/4'
'-x,y+1/2,-z'
'x,-y+1/2,z'
'y+3/4,x+1/4,-z+3/4'
'-y+3/4,-x+1/4,z+3/4'
loop_
_atom_site_label
_atom_site_fract_x
_atom_site_fract_y
_atom_site_fract_z
Zn1 0.000 0.250 0.375
Cu1 0.000 0.250 0.875
```

ΔE_f, eV per atom: -0.095
VASP energy, Ry per atom: -0.224

## TlInPt2 (PBEsol)

Data for a geometry-optimized TlInPt2 structure.

Structure (CIF):
```
data_TlInPt2
_chemical_formula_sum 'Tl1 In1 Pt2'
_cell_length_a 3.682
_cell_length_b 3.682
_cell_length_c 5.552
_cell_angle_alpha 90.00
_cell_angle_beta 90.00
_cell_angle_gamma 90.00
_space_group_name_H-M_alt 'P 4 m m'
_space_group_IT_number 99
_space_group_name_Hall 'P 4 -2'
loop_
_atom_site_label
_atom_site_fract_x
_atom_site_fract_y
_atom_site_fract_z
Tl1 0.000 0.000 0.000
In1 0.500 0.500 0.335
Pt1 0.000 0.000 0.505
Pt2 0.500 0.500 0.822
```

ΔE_f, eV per atom: -0.093
VASP energy, Ry per atom: -0.366

## VReO4 (PBEsol)

Data for a geometry-optimized VReO4 structure.

Structure (CIF):
```
data_VReO4
_chemical_formula_sum 'V8 Re8 O32'
_cell_length_a 5.456
_cell_length_b 13.238
_cell_length_c 6.778
_cell_angle_alpha 90.00
_cell_angle_beta 90.00
_cell_angle_gamma 90.00
_space_group_name_H-M_alt 'C m c m'
_space_group_IT_number 63
_space_group_name_Hall '-C 2c 2'
loop_
_atom_site_label
_atom_site_fract_x
_atom_site_fract_y
_atom_site_fract_z
V1 0.000 0.121 0.250
V2 0.000 0.371 0.750
Re1 0.226 0.375 0.250
O1 0.000 0.124 0.550
O2 0.000 0.373 0.023
O3 0.240 0.228 0.250
O4 0.245 0.478 0.750
```

ΔE to the lowest computed polymorph, meV/atom: 0.5
VASP energy, Ry per atom: -0.680

## CaTa2ZnW (PBEsol)

Data for a geometry-optimized CaTa2ZnW structure.

Structure (CIF):
```
data_CaTa2ZnW
_chemical_formula_sum 'Ca1 Ta2 Zn1 W1'
_cell_length_a 4.579
_cell_length_b 4.579
_cell_length_c 4.519
_cell_angle_alpha 90.00
_cell_angle_beta 90.00
_cell_angle_gamma 90.00
_space_group_name_H-M_alt 'P 4/m m m'
_space_group_IT_number 123
_space_group_name_Hall '-P 4 2'
loop_
_atom_site_label
_atom_site_fract_x
_atom_site_fract_y
_atom_site_fract_z
Ca1 0.000 0.000 0.000
Ta1 0.000 0.500 0.000
Zn1 0.000 0.000 0.500
W1 0.500 0.500 0.500
```

ΔE_f, eV per atom: 2.623
VASP energy, Ry per atom: -0.434

## CoAg2BiC (PBEsol)

Data for a geometry-optimized CoAg2BiC structure.

Structure (CIF):
```
data_CoAg2BiC
_chemical_formula_sum 'Co1 Ag2 Bi1 C1'
_cell_length_a 4.113
_cell_length_b 4.113
_cell_length_c 5.092
_cell_angle_alpha 90.00
_cell_angle_beta 90.00
_cell_angle_gamma 90.00
_space_group_name_H-M_alt 'P 4/m m m'
_space_group_IT_number 123
_space_group_name_Hall '-P 4 2'
loop_
_atom_site_label
_atom_site_fract_x
_atom_site_fract_y
_atom_site_fract_z
Co1 0.000 0.000 0.000
Ag1 0.000 0.500 0.500
Bi1 0.500 0.500 0.000
C1 0.500 0.500 0.500
```

ΔE_f, eV per atom: 1.149
VASP energy, Ry per atom: -0.331

## MgTcP2 (PBEsol)

Data for a geometry-optimized MgTcP2 structure.

Structure (CIF):
```
data_MgTcP2
_chemical_formula_sum 'Mg4 Tc4 P8'
_cell_length_a 6.069
_cell_length_b 6.069
_cell_length_c 6.069
_cell_angle_alpha 90.00
_cell_angle_beta 90.00
_cell_angle_gamma 90.00
_space_group_name_H-M_alt 'F -4 3 m'
_space_group_IT_number 216
_space_group_name_Hall 'F -4 2 3'
loop_
_atom_site_label
_atom_site_fract_x
_atom_site_fract_y
_atom_site_fract_z
Mg1 0.000 0.000 0.000
Tc1 0.250 0.250 0.250
P1 0.000 0.000 0.500
P2 0.250 0.250 0.750
```

ΔE_f, eV per atom: 0.349
VASP energy, Ry per atom: -0.426

## Hf6NiBi2 (PBEsol)

Data for a geometry-optimized Hf6NiBi2 structure.

Structure (CIF):
```
data_Hf6NiBi2
_chemical_formula_sum 'Hf6 Ni1 Bi2'
_cell_length_a 7.7340
_cell_length_b 7.7340
_cell_length_c 3.6164
_cell_angle_alpha 90.00
_cell_angle_beta 90.00
_cell_angle_gamma 120.00
_space_group_name_H-M_alt 'P -6 2 m'
_space_group_IT_number 189
_space_group_name_Hall 'P -6 -2'
loop_
_atom_site_label
_atom_site_fract_x
_atom_site_fract_y
_atom_site_fract_z
Hf1 0.0000 0.2353 0.0000
Hf2 0.0000 0.6117 0.5000
Ni1 0.0000 0.0000 0.5000
Bi1 0.3333 0.6667 0.0000
```

ΔE_f, eV per atom: -0.305
VASP energy, Ry per atom: -0.657

## TlTc2SbBr (PBEsol)

Data for a geometry-optimized TlTc2SbBr structure.

Structure (CIF):
```
data_TlTc2SbBr
_chemical_formula_sum 'Tl1 Tc2 Sb1 Br1'
_cell_length_a 5.159
_cell_length_b 5.159
_cell_length_c 5.315
_cell_angle_alpha 90.00
_cell_angle_beta 90.00
_cell_angle_gamma 90.00
_space_group_name_H-M_alt 'P 4/m m m'
_space_group_IT_number 123
_space_group_name_Hall '-P 4 2'
loop_
_atom_site_label
_atom_site_fract_x
_atom_site_fract_y
_atom_site_fract_z
Tl1 0.000 0.000 0.000
Tc1 0.000 0.500 0.000
Sb1 0.500 0.500 0.500
Br1 0.000 0.000 0.500
```

VASP energy, Ry per atom: -0.314

## SrCa2Re (PBEsol)

Data for a geometry-optimized SrCa2Re structure.

Structure (CIF):
```
data_SrCa2Re
_chemical_formula_sum 'Sr2 Ca4 Re2'
_cell_length_a 10.125
_cell_length_b 3.165
_cell_length_c 7.107
_cell_angle_alpha 90.00
_cell_angle_beta 95.30
_cell_angle_gamma 90.00
_space_group_name_H-M_alt 'C 1 m 1'
_space_group_IT_number 8
_space_group_name_Hall 'C -2y'
loop_
_atom_site_label
_atom_site_fract_x
_atom_site_fract_y
_atom_site_fract_z
Sr1 0.000 0.000 0.000
Ca1 0.230 0.000 0.642
Ca2 0.470 0.000 0.412
Re1 0.232 0.500 0.261
```

ΔE to the lowest computed polymorph, meV/atom: 4.6
ΔE_f, eV per atom: 0.847
VASP energy, Ry per atom: -0.295

## Zr2IrCl (PBEsol)

Data for a geometry-optimized Zr2IrCl structure.

Structure (CIF):
```
data_Zr2IrCl
_chemical_formula_sum 'Zr2 Ir1 Cl1'
_cell_length_a 3.130
_cell_length_b 4.422
_cell_length_c 5.341
_cell_angle_alpha 90.00
_cell_angle_beta 90.00
_cell_angle_gamma 90.00
_space_group_name_H-M_alt 'P m m m'
_space_group_IT_number 47
_space_group_name_Hall '-P 2 2'
loop_
_atom_site_label
_atom_site_fract_x
_atom_site_fract_y
_atom_site_fract_z
Zr1 0.000 0.000 0.000
Zr2 0.500 0.500 0.500
Ir1 0.000 0.000 0.500
Cl1 0.500 0.500 0.000
```

ΔE to the lowest computed polymorph, meV/atom: 87.1
VASP energy, Ry per atom: -0.602

## CuAgAs2 (PBEsol)

Data for a geometry-optimized CuAgAs2 structure.

Structure (CIF):
```
data_CuAgAs2
_chemical_formula_sum 'Cu1 Ag1 As2'
_cell_length_a 2.989
_cell_length_b 3.696
_cell_length_c 5.946
_cell_angle_alpha 90.00
_cell_angle_beta 90.00
_cell_angle_gamma 90.00
_space_group_name_H-M_alt 'P m m m'
_space_group_IT_number 47
_space_group_name_Hall '-P 2 2'
loop_
_atom_site_label
_atom_site_fract_x
_atom_site_fract_y
_atom_site_fract_z
Cu1 0.000 0.000 0.000
Ag1 0.000 0.000 0.500
As1 0.500 0.500 0.222
```

ΔE to the lowest computed polymorph, meV/atom: 65.7
ΔE_f, eV per atom: 0.221
VASP energy, Ry per atom: -0.312

## TcS2Br (PBEsol)

Data for a geometry-optimized TcS2Br structure.

Structure (CIF):
```
data_TcS2Br
_chemical_formula_sum 'Tc3 S6 Br3'
_cell_length_a 3.4919
_cell_length_b 3.4919
_cell_length_c 22.4878
_cell_angle_alpha 90.00
_cell_angle_beta 90.00
_cell_angle_gamma 120.00
_space_group_name_H-M_alt 'R -3 m'
_space_group_IT_number 166
_space_group_name_Hall '-R 3 2"'
loop_
_atom_site_label
_atom_site_fract_x
_atom_site_fract_y
_atom_site_fract_z
Tc1 0.0000 0.0000 0.0000
S1 0.0000 0.0000 0.3903
Br1 0.0000 0.0000 0.5000
```

ΔE to the lowest computed polymorph, meV/atom: 0.0
VASP energy, Ry per atom: -0.417

## NiMoBr (PBEsol)

Data for a geometry-optimized NiMoBr structure.

Structure (CIF):
```
data_NiMoBr
_chemical_formula_sum 'Ni4 Mo4 Br4'
_cell_length_a 5.865
_cell_length_b 5.865
_cell_length_c 5.865
_cell_angle_alpha 90.00
_cell_angle_beta 90.00
_cell_angle_gamma 90.00
_space_group_name_H-M_alt 'F -4 3 m'
_space_group_IT_number 216
_space_group_name_Hall 'F -4 2 3'
loop_
_atom_site_label
_atom_site_fract_x
_atom_site_fract_y
_atom_site_fract_z
Ni1 0.000 0.000 0.000
Mo1 0.250 0.250 0.750
Br1 0.000 0.000 0.500
```

ΔE to the lowest computed polymorph, meV/atom: 0.0
VASP energy, Ry per atom: -0.426

## Mg2Zn (PBEsol)

Data for a geometry-optimized Mg2Zn structure.

Structure (CIF):
```
data_Mg2Zn
_chemical_formula_sum 'Mg8 Zn4'
_cell_length_a 3.061
_cell_length_b 3.061
_cell_length_c 25.483
_cell_angle_alpha 90.00
_cell_angle_beta 90.00
_cell_angle_gamma 90.00
_space_group_name_H-M_alt 'I 41/a m d'
_space_group_IT_number 141
loop_
_space_group_symop_operation_xyz
'x,y,z'
'-x,-y,-z'
'-y+1/4,x+3/4,z+1/4'
'y+1/4,-x+3/4,-z+1/4'
'-x+1/2,-y,z+1/2'
'x+1/2,y,-z+1/2'
'y+1/4,-x+1/4,z+3/4'
'-y+1/4,x+1/4,-z+3/4'
'x,-y,-z'
'-x,y,z'
'-y+1/4,-x+1/4,-z+3/4'
'y+1/4,x+1/4,z+3/4'
'-x+1/2,y,-z+1/2'
'x+1/2,-y,z+1/2'
'y+1/4,x+3/4,-z+1/4'
'-y+1/4,-x+3/4,z+1/4'
'x+1/2,y+1/2,z+1/2'
'-x+1/2,-y+1/2,-z+1/2'
'-y+3/4,x+1/4,z+3/4'
'y+3/4,-x+1/4,-z+3/4'
'-x,-y+1/2,z'
'x,y+1/2,-z'
'y+3/4,-x+3/4,z+1/4'
'-y+3/4,x+3/4,-z+1/4'
'x+1/2,-y+1/2,-z+1/2'
'-x+1/2,y+1/2,z+1/2'
'-y+3/4,-x+3/4,-z+1/4'
'y+3/4,x+3/4,z+1/4'
'-x,y+1/2,-z'
'x,-y+1/2,z'
'y+3/4,x+1/4,-z+3/4'
'-y+3/4,-x+1/4,z+3/4'
loop_
_atom_site_label
_atom_site_fract_x
_atom_site_fract_y
_atom_site_fract_z
Mg1 0.000 0.250 0.303
Zn1 0.000 0.250 0.875
```

ΔE_f, eV per atom: 0.020
VASP energy, Ry per atom: -0.121

## Ta2PbW (PBEsol)

Data for a geometry-optimized Ta2PbW structure.

Structure (CIF):
```
data_Ta2PbW
_chemical_formula_sum 'Ta6 Pb3 W3'
_cell_length_a 3.1643
_cell_length_b 3.1643
_cell_length_c 26.6315
_cell_angle_alpha 90.00
_cell_angle_beta 90.00
_cell_angle_gamma 120.00
_space_group_name_H-M_alt 'R -3 m'
_space_group_IT_number 166
_space_group_name_Hall '-R 3 2"'
loop_
_atom_site_label
_atom_site_fract_x
_atom_site_fract_y
_atom_site_fract_z
Ta1 0.0000 0.0000 0.2404
Pb1 0.0000 0.0000 0.0000
W1 0.0000 0.0000 0.5000
```

ΔE_f, eV per atom: 0.458
VASP energy, Ry per atom: -0.755

Number 1: ρ 7.92 g/cm3. Number 2: ρ 5.61 g/cm3. Number 3: ρ 5.78 g/cm3. Number 4: ρ 4.98 g/cm3. Number 5: ρ 6.70 g/cm3. Number 6: ρ 8.70 g/cm3. Number 7: ρ 15.65 g/cm3. Number 8: ρ 8.17 g/cm3. Number 9: ρ 11.41 g/cm3. Number 10: ρ 9.55 g/cm3. Number 11: ρ 5.47 g/cm3. Number 12: ρ 13.72 g/cm3. Number 13: ρ 7.07 g/cm3. Number 14: ρ 5.18 g/cm3. Number 15: ρ 9.21 g/cm3. Number 16: ρ 8.12 g/cm3. Number 17: ρ 5.08 g/cm3. Number 18: ρ 7.72 g/cm3. Number 19: ρ 3.17 g/cm3. Number 20: ρ 16.24 g/cm3.